GGA-PBE DyMgZnCu, optimized geometry; density = 6875 kg/m³; electronic total energy = -3.17 eV/atom; magnetic moment = 0.000 μB/atom; formation enthalpy at 0 K = -0.28 eV/atom; space group = F-43m (216); density of states at the Fermi level = 0.46 states/eV per atom
1.0
-2.4493 3.1563 -2.5881
-0.4150 -0.5906 -4.7051
-4.1988 -1.2146 -1.8852
Cu Dy Mg Zn
1 1 1 1
Cartesian
-1.7658 0.3378 -2.2946
0.0000 0.0000 0.0000
-3.5315 0.6756 -4.5892
-5.2973 1.0133 -6.8838